# PBE+U Ti3Fe5O12, relaxed
data_Ti3Fe5O12
_symmetry_space_group_name_H-M 'P 1'
_symmetry_Int_Tables_number 1
_symmetry_space_group_name_Hall 'P 1'
_cell_length_a 5.165
_cell_length_b 5.586
_cell_length_c 7.534
_cell_angle_alpha 84.82
_cell_angle_beta 89.83
_cell_angle_gamma 89.65
loop_
_atom_site_label
_atom_site_type_symbol
_atom_site_fract_x
_atom_site_fract_y
_atom_site_fract_z
Ti1 Ti 0.000 0.000 0.000
Ti2 Ti 0.011 0.012 0.499
Ti3 Ti 0.500 0.492 0.013
Fe1 Fe 0.010 0.432 0.715
Fe2 Fe 0.502 0.921 0.221
Fe3 Fe 0.504 0.500 0.507
Fe4 Fe 0.505 0.916 0.711
Fe5 Fe 0.998 0.432 0.218
O1 O 0.134 0.044 0.265
O2 O 0.177 0.357 0.964
O3 O 0.209 0.737 0.590
O4 O 0.316 0.206 0.600
O5 O 0.321 0.865 0.949
O6 O 0.382 0.549 0.259
O7 O 0.628 0.562 0.774
O8 O 0.691 0.858 0.472
O9 O 0.698 0.228 0.088
O10 O 0.807 0.738 0.091
O11 O 0.848 0.352 0.468
O12 O 0.855 0.044 0.772
# - electronic total energy (eV per atom) = -7.71